No. 1
First-principles (GGA-PBE) data for a geometry-optimized InAuSO structure, as listed in OQMD via LeMat-Bulk.

Results
Final energy = -4.23 eV per atom
Excess energy over the best structure of this formula in the dataset = 242 meV/atom

Cell lengths 3.822, 6.527, 6.493 Å; angles 90.00, 90.00, 90.00 degrees
Fractional coordinates of all 8 atoms:
Au1 0.000 0.271 0.028
Au2 0.000 0.729 0.528
In1 0.500 0.871 0.053
In2 0.500 0.129 0.553
O1 0.500 0.137 0.233
O2 0.500 0.863 0.733
S1 0.000 0.653 0.178
S2 0.000 0.347 0.678

***

No. 2
First-principles (GGA-PBE) data for a geometry-optimized InAuSO structure, as listed in OQMD via LeMat-Bulk.

Results
Final energy = -4.17 eV per atom
Excess energy over the best structure of this formula in the dataset = 302 meV/atom

Cell lengths 3.896, 3.896, 9.053 Å; angles 90.00, 90.00, 90.00 degrees
Fractional coordinates of all 8 atoms:
Au1 0.750 0.250 0.500
Au2 0.250 0.750 0.500
In1 0.250 0.250 0.114
In2 0.750 0.750 0.886
O1 0.750 0.250 0.000
O2 0.250 0.750 0.000
S1 0.750 0.750 0.288
S2 0.250 0.250 0.712

***

No. 3
First-principles (GGA-PBE) data for a geometry-optimized InAuSO structure, as listed in OQMD via LeMat-Bulk.

Results
Final energy = -4.47 eV per atom
Excess energy over the best structure of this formula in the dataset = 0 meV/atom

Cell lengths 5.544, 5.515, 10.444 Å; angles 90.00, 91.54, 90.00 degrees
Fractional coordinates of all 16 atoms:
Au1 0.998 0.344 0.286
Au2 0.678 0.590 0.499
Au3 0.322 0.090 0.501
Au4 0.002 0.844 0.714
In1 0.005 0.820 0.100
In2 0.505 0.322 0.101
In3 0.495 0.822 0.899
In4 0.995 0.320 0.900
O1 0.245 0.071 0.000
O2 0.746 0.071 0.001
O3 0.254 0.571 0.999
O4 0.755 0.571 0.000
S1 0.693 0.633 0.277
S2 0.296 0.049 0.280
S3 0.704 0.549 0.720
S4 0.307 0.133 0.723

***

No. 4
First-principles (GGA-PBE) data for a geometry-optimized InAuSO structure, as listed in OQMD via LeMat-Bulk.

Results
Final energy = -4.08 eV per atom
Excess energy over the best structure of this formula in the dataset = 392 meV/atom

Cell lengths 6.260, 6.942, 7.505 Å; angles 90.00, 90.00, 90.00 degrees
Fractional coordinates of all 16 atoms:
Au1 0.580 0.158 0.184
Au2 0.080 0.342 0.184
Au3 0.580 0.658 0.816
Au4 0.080 0.842 0.816
In1 0.476 0.545 0.310
In2 0.976 0.955 0.310
In3 0.476 0.045 0.690
In4 0.976 0.455 0.690
O1 0.115 0.061 0.087
O2 0.615 0.439 0.087
O3 0.115 0.561 0.913
O4 0.615 0.939 0.913
S1 0.079 0.601 0.380
S2 0.579 0.899 0.380
S3 0.079 0.101 0.620
S4 0.579 0.399 0.620

***

No. 5
First-principles (GGA-PBE) data for a geometry-optimized InAuSeO structure, as listed in OQMD via LeMat-Bulk.

Results
Final energy = -4.06 eV per atom
Excess energy over the best structure of this formula in the dataset = 219 meV/atom

Cell lengths 3.971, 6.828, 6.461 Å; angles 90.00, 90.00, 90.00 degrees
Fractional coordinates of all 8 atoms:
Au1 0.000 0.250 0.039
Au2 0.000 0.750 0.539
In1 0.500 0.874 0.050
In2 0.500 0.126 0.550
O1 0.500 0.131 0.228
O2 0.500 0.869 0.728
Se1 0.000 0.648 0.174
Se2 0.000 0.352 0.674

***

No. 6
First-principles (GGA-PBE) data for a geometry-optimized InAuSeO structure, as listed in OQMD via LeMat-Bulk.

Results
Final energy = -4.08 eV per atom
Excess energy over the best structure of this formula in the dataset = 197 meV/atom

Cell lengths 3.920, 3.920, 9.472 Å; angles 90.00, 90.00, 90.00 degrees
Fractional coordinates of all 8 atoms:
Au1 0.750 0.250 0.500
Au2 0.250 0.750 0.500
In1 0.250 0.250 0.110
In2 0.750 0.750 0.890
O1 0.750 0.250 0.000
O2 0.250 0.750 0.000
Se1 0.750 0.750 0.286
Se2 0.250 0.250 0.714